Entry 1:
Below is an optimized crystal structure of Sr2MoRhO6, with properties calculated at the PBE+U level.

a b c (Å): 5.696 5.696 10.188
angles (deg): 73.77 73.77 60.00
Each line ends with the local moment (μB).
Positions (direct):
O: 0.198 0.720 0.883  0.00
O: 0.618 0.618 0.637  0.01
O: 0.802 0.280 0.117  0.00
O: 0.128 0.618 0.637  0.01
O: 0.618 0.128 0.637  0.01
O: 0.802 0.802 0.117  0.00
O: 0.382 0.872 0.363  0.01
O: 0.382 0.382 0.363  0.01
O: 0.720 0.198 0.883  0.00
O: 0.280 0.802 0.117  0.00
O: 0.872 0.382 0.363  0.01
O: 0.198 0.198 0.883  0.00
Rh: 0.590 0.590 0.231  0.00
Rh: 0.410 0.410 0.769  0.00
Sr: 0.877 0.877 0.370  0.00
Sr: 0.720 0.720 0.840  0.00
Sr: 0.280 0.280 0.160  0.00
Sr: 0.123 0.123 0.630  0.00
Mo: 0.000 0.000 0.000  0.01
Mo: 0.500 0.500 0.500  1.82

Values from the calculation:
DFT total energy in eV per atom: -6.704
Magnetic moment in μB/cell: 2.0


Entry 2:
Below is an optimized crystal structure of ZrCdMoO6, with properties calculated at the PBE+U level.

a b c (Å): 4.955 4.955 9.671
angles (deg): 90.00 90.00 90.00
Positions (direct):
Zr: 0.000 0.000 0.999
Zr: 0.500 0.500 0.499
O: 0.223 0.777 0.849
O: 0.321 0.321 0.678
O: 0.179 0.821 0.178
O: 0.777 0.223 0.849
O: 0.798 0.202 0.473
O: 0.821 0.179 0.178
O: 0.723 0.723 0.349
O: 0.298 0.298 0.973
O: 0.679 0.679 0.678
O: 0.277 0.277 0.349
O: 0.202 0.798 0.473
O: 0.702 0.702 0.973
Cd: 0.000 0.000 0.668
Cd: 0.500 0.500 0.168
Mo: 0.500 0.500 0.834
Mo: 0.000 0.000 0.334

Values from the calculation:
DFT total energy in eV per atom: -7.150
Magnetic moment in μB/cell: 0.0